The following is a PBE calculation of crystalline GaHgPbF6 at its relaxed geometry, from Alexandria.

Structure (POSCAR):
```
GaHgPbF6
1.0
-5.8318 -0.0764 -1.5312
2.3067 -4.4806 3.3110
-2.1944 4.8670 8.1152
Ga Hg Pb F
2 2 2 12
direct
0.6667 0.3333 0.2500
0.3333 0.6667 0.7500
0.3333 0.6667 0.2500
0.6667 0.3333 0.7500
0.0000 0.0000 0.0000
0.0000 0.0000 0.5000
0.6924 0.6076 0.1342
0.9152 0.3076 0.1342
0.3076 0.9152 0.6342
0.0848 0.6924 0.8658
0.3924 0.3076 0.3658
0.9152 0.6076 0.3658
0.6076 0.9152 0.8658
0.6924 0.0848 0.3658
0.0848 0.3924 0.6342
0.3924 0.0848 0.1342
0.6076 0.6924 0.6342
0.3076 0.3924 0.8658
```

## Properties
* DOS(E_F): 2.50 states/eV/f.u.
* ΔE_f (raw): -2.108 eV per atom
* SG: P-31c, No. 163